[1]
Compound: Ba2Li2Si
Source: Alexandria via LeMat-Bulk
Functional: PBEsol
Structure: relaxed

Cell: 5.277 7.215 7.215 Å, 90.00 90.00 90.00°
Element x y z (fractional)
Ba 0.500 0.197 0.697
Ba 0.500 0.697 0.803
Ba 0.500 0.803 0.303
Ba 0.500 0.303 0.197
Li 0.000 0.356 0.856
Li 0.000 0.644 0.144
Li 0.000 0.144 0.356
Li 0.000 0.856 0.644
Si 0.000 0.000 0.000
Si 0.000 0.500 0.500

Results
DOS(E_F) = 5.173 states/eV/cell
M_tot = 0.000 μB per atom
uncorrected energy = -2.8626 eV per atom
formation energy from raw total energies = -0.07 eV/atom
ρ = 3.8 Mg/m³

=====

[2]
Compound: BaLiSi2
Source: Alexandria via LeMat-Bulk
Functional: PBEsol
Structure: relaxed

Cell: 4.307 4.307 4.819 Å, 90.00 90.00 90.00°
Element x y z (fractional)
Ba 0.500 0.500 0.500
Si 0.000 0.500 0.000
Si 0.500 0.000 0.000
Li 0.000 0.000 0.500

Results
DOS(E_F) = 1.567 states/eV/cell
M_tot = 0.000 μB per atom
uncorrected energy = -3.7868 eV per atom
formation energy from raw total energies = 0.12 eV/atom
ρ = 3.7 Mg/m³

=====

[3]
Compound: BaLi3Si
Source: Alexandria via LeMat-Bulk
Functional: PBEsol
Structure: relaxed

Cell: 4.930 4.930 4.930 Å, 90.00 90.00 90.00°
Element x y z (fractional)
Li 0.000 0.500 0.000
Li 0.000 0.000 0.500
Li 0.500 0.000 0.000
Ba 0.500 0.500 0.500
Si 0.000 0.000 0.000

Results
DOS(E_F) = 2.639 states/eV/cell
M_tot = 0.086 μB per atom
uncorrected energy = -2.8939 eV per atom
formation energy from raw total energies = -0.13 eV/atom
ρ = 2.6 Mg/m³

=====

[4]
Compound: BaLi2Si
Source: Alexandria via LeMat-Bulk
Functional: PBEsol
Structure: relaxed

Cell: 4.985 4.985 5.012 Å, 113.07 113.07 102.25°
Element x y z (fractional)
Ba 0.500 0.500 0.000
Si 0.000 0.000 0.000
Li 0.000 0.500 0.500
Li 0.500 0.000 0.500

Results
DOS(E_F) = 0.756 states/eV/cell
M_tot = 0.000 μB per atom
uncorrected energy = -2.8151 eV per atom
formation energy from raw total energies = 0.14 eV/atom
ρ = 3.1 Mg/m³